No. 1
Entry from the Alexandria database: a relaxed SiICl3 crystal (GGA-PBE).

The structure belongs to space group Pm-3m (No. 221); the cell edges are 4.999, 4.999 and 4.999 Å and the angles 90.00°, 90.00° and 90.00°. The distinct sites, in fractional coordinates, are Si at (0.000, 0.000, 0.000), I at (0.500, 0.500, 0.500) and Cl at (0.000, 0.000, 0.500).

As for the uncorrected formation energy: -0.13 eV/atom.

No. 2
Entry from the Alexandria database: a relaxed Si2ICl crystal (GGA-PBE).

The structure belongs to space group Fm-3m (No. 225); the cell edges are 7.089, 7.089 and 7.089 Å and the angles 90.00°, 90.00° and 90.00°. The distinct sites, in fractional coordinates, are Si at (0.250, 0.250, 0.250), I at (0.000, 0.000, 0.000) and Cl at (0.000, 0.000, 0.500).

As for the uncorrected formation energy: 0.67 eV/atom.

No. 3
Entry from the Alexandria database: a relaxed SiI3Cl crystal (GGA-PBE).

The structure belongs to space group P2_1 (No. 4); the cell edges are 6.931, 7.402 and 10.748 Å and the angles 90.00°, 90.01° and 90.00°. The distinct sites, in fractional coordinates, are Si at (0.175, 0.000, 0.250), I at (0.241, 0.675, 0.249), I at (0.312, 0.139, 0.438), I at (0.313, 0.142, 0.065) and Cl at (0.118, 0.540, 0.750).

As for the uncorrected formation energy: -0.57 eV/atom.

No. 4
Entry from the Alexandria database: a relaxed SiI2Cl crystal (GGA-PBE).

The structure belongs to space group Fm-3m (No. 225); the cell edges are 7.509, 7.509 and 7.509 Å and the angles 90.00°, 90.00° and 90.00°. The distinct sites, in fractional coordinates, are Si at (0.000, 0.000, 0.000), I at (0.250, 0.250, 0.250) and Cl at (0.000, 0.000, 0.500).

As for the uncorrected formation energy: 0.41 eV/atom.